Entry 1:
A relaxed Tc2PW crystal. Source: Alexandria, functional GGA-PBE.

Cell: 8.3267 8.3267 8.3267 Å, 19.78 19.78 19.78°
With the nearest neighbours (Å) after each atom.
Atoms (fractional coordinates):
Tc: 0.2417 0.2417 0.2417  3 P 2.47
Tc: 0.7583 0.7583 0.7583  3 P 2.47
P: 0.5000 0.5000 0.5000  6 Tc 2.47
W: 0.0000 0.0000 0.0000  6 Tc 2.79, 6 W 2.86

**Symmetry**: R-3m
**Calculated formation energy**: -7 meV per atom
**Mass density**: 11.79 Mg/m³
**DOS(E_F)**: 1.133 states/eV/atom

Entry 2:
A relaxed Nd12TlGa5 crystal. Source: Alexandria, functional GGA-PBE.

Cell: 8.9173 8.9173 8.9173 Å, 112.09 111.56 104.86°
With the nearest neighbours (Å) after each atom.
Atoms (fractional coordinates):
Nd: 0.0375 0.2347 0.8027  2 Ga 3.02-3.23
Nd: 0.1786 0.2748 0.4534  4 Ga 3.15-3.28
Nd: 0.1786 0.7252 0.9038  4 Ga 3.15-3.28
Nd: 0.3221 0.0272 0.7052  3 Ga 3.00-3.15
Nd: 0.3221 0.6169 0.2948  3 Ga 3.00-3.15
Nd: 0.4320 0.2347 0.1973  2 Ga 3.02-3.23
Nd: 0.5680 0.7653 0.8027  2 Ga 3.02-3.23
Nd: 0.6779 0.3831 0.7052  3 Ga 3.00-3.15
Nd: 0.6779 0.9728 0.2948  3 Ga 3.00-3.15
Nd: 0.8214 0.2748 0.0962  4 Ga 3.15-3.28
Nd: 0.8214 0.7252 0.5466  4 Ga 3.15-3.28
Nd: 0.9625 0.7653 0.1973  2 Ga 3.02-3.23
Tl: 0.5000 0.5000 0.0000  8 Nd 3.50-3.52
Ga: 0.0000 0.0000 0.0000  8 Nd 3.23-3.27, 2 Ga 3.59
Ga: 0.1198 0.6198 0.5000  1 Ga 2.61
Ga: 0.3584 0.0000 0.3584  1 Ga 2.84, 6 Nd 3.02-3.15
Ga: 0.6416 0.0000 0.6416  1 Ga 2.84, 6 Nd 3.02-3.15
Ga: 0.8802 0.3802 0.5000  1 Ga 2.61

**Symmetry**: Immm
**Calculated formation energy**: -374 meV per atom
**Mass density**: 6.98 Mg/m³
**DOS(E_F)**: 0.902 states/eV/atom

Entry 3:
A relaxed HgHRh2 crystal. Source: Alexandria, functional GGA-PBE.

Cell: 2.7953 2.7953 6.8618 Å, 90.00 90.00 90.00°
With the nearest neighbours (Å) after each atom.
Atoms (fractional coordinates):
Hg: 0.0000 0.0000 0.0000  4 Hg 2.80, 8 Rh 2.96
H: 0.0000 0.0000 0.5000  8 Rh 2.33
Rh: 0.5000 0.5000 0.3203  4 H 2.33, 1 Rh 2.47
Rh: 0.5000 0.5000 0.6797  4 H 2.33, 1 Rh 2.47

**Symmetry**: P4/mmm
**Mass density**: 12.62 Mg/m³
**DOS(E_F)**: 0.947 states/eV/atom
**Total energy**: -0.15166 hartree per atom

Entry 4:
A relaxed NbTl2ZnCu crystal. Source: Alexandria, functional GGA-PBE.

Cell: 5.0487 5.0487 4.5190 Å, 90.00 90.00 90.00°
With the nearest neighbours (Å) after each atom.
Atoms (fractional coordinates):
Nb: 0.0000 0.0000 0.0000  8 Tl 3.39, 4 Zn 3.57
Tl: 0.0000 0.5000 0.5000  2 Cu 2.52
Tl: 0.5000 0.0000 0.5000  2 Cu 2.52
Zn: 0.5000 0.5000 0.0000  2 Cu 2.26
Cu: 0.5000 0.5000 0.5000  2 Zn 2.26, 4 Tl 2.52

**Symmetry**: P4/mmm
**Calculated formation energy**: 890 meV per atom
**Mass density**: 9.09 Mg/m³
**DOS(E_F)**: 0.914 states/eV/atom

Entry 5:
A relaxed TmNbP2 crystal. Source: Alexandria, functional GGA-PBE.

Cell: 6.7931 6.7931 6.7931 Å, 31.21 31.21 31.21°
With the nearest neighbours (Å) after each atom.
Atoms (fractional coordinates):
Tm: 0.0000 0.0000 0.0000  6 P 2.68-2.81
Nb: 0.8248 0.8248 0.8248  6 P 2.53-2.61
P: 0.4190 0.4190 0.4190  3 Nb 2.53, 3 Tm 2.68
P: 0.5705 0.5705 0.5705  3 Nb 2.61, 3 Tm 2.81

**Symmetry**: R3m
**Calculated formation energy**: -1199 meV per atom
**Mass density**: 7.20 Mg/m³
**DOS(E_F)**: 0.069 states/eV/atom

Entry 6:
A relaxed KSnBiCl6 crystal. Source: Alexandria, functional GGA-PBE.

Cell: 6.8497 6.8497 13.0794 Å, 90.00 90.00 90.00°
With the nearest neighbours (Å) after each atom.
Atoms (fractional coordinates):
K: 0.0000 0.0000 0.0000  6 Cl 3.10-3.15
K: 0.5000 0.5000 0.5000  6 Cl 3.10-3.15
Sn: 0.0000 0.0000 0.6684  6 Cl 2.83-2.90
Sn: 0.5000 0.5000 0.1684  6 Cl 2.83-2.90
Bi: 0.0000 0.0000 0.3330  6 Cl 2.74-2.77
Bi: 0.5000 0.5000 0.8330  6 Cl 2.74-2.77
Cl: 0.1797 0.1797 0.4976  1 Bi 2.77, 1 Sn 2.83
Cl: 0.2033 0.2033 0.1878  1 Bi 2.74, 1 Sn 2.89
Cl: 0.2174 0.2174 0.8213  1 Bi 2.74, 1 Sn 2.90
Cl: 0.2826 0.7174 0.3213  1 Bi 2.74, 1 Sn 2.90
Cl: 0.2967 0.7033 0.6878  1 Bi 2.74, 1 Sn 2.89
Cl: 0.3203 0.6797 0.9976  1 Bi 2.77, 1 Sn 2.83
Cl: 0.6797 0.3203 0.9976  1 Bi 2.77, 1 Sn 2.83
Cl: 0.7033 0.2967 0.6878  1 Bi 2.74, 1 Sn 2.89
Cl: 0.7174 0.2826 0.3213  1 Bi 2.74, 1 Sn 2.90
Cl: 0.7826 0.7826 0.8213  1 Bi 2.74, 1 Sn 2.90
Cl: 0.7967 0.7967 0.1878  1 Bi 2.74, 1 Sn 2.89
Cl: 0.8203 0.8203 0.4976  1 Bi 2.77, 1 Sn 2.83

**Symmetry**: P4_2nm
**Energy relative to the elements, uncorrected**: -1218 meV per atom
**Mass density**: 3.14 Mg/m³
**DOS(E_F)**: 0.000 states/eV/atom

Entry 7:
A relaxed SrYCl2 crystal. Source: Alexandria, functional GGA-PBE.

Cell: 7.9107 7.9107 7.9107 Å, 150.17 150.17 42.70°
With the nearest neighbours (Å) after each atom.
Atoms (fractional coordinates):
Sr: 0.0000 0.0000 0.0000  4 Cl 2.88
Y: 0.2500 0.7500 0.5000  4 Cl 2.88
Cl: 0.5000 0.5000 0.0000  4 Sr 2.88
Cl: 0.7500 0.2500 0.5000  4 Y 2.88

**Symmetry**: I-4m2
**Energy relative to the elements, uncorrected**: -1188 meV per atom
**Mass density**: 3.36 Mg/m³
**DOS(E_F)**: 0.702 states/eV/atom

Entry 8:
A relaxed Ba2SnPdC crystal. Source: Alexandria, functional GGA-PBE.

Cell: 6.1318 6.1318 3.9033 Å, 90.00 90.00 90.00°
With the nearest neighbours (Å) after each atom.
Atoms (fractional coordinates):
Ba: 0.0000 0.5000 0.0000  2 C 3.07
Ba: 0.5000 0.0000 0.0000  2 C 3.07
Sn: 0.0000 0.0000 0.5000  8 Ba 3.63, 2 Sn 3.90
Pd: 0.5000 0.5000 0.5000  2 C 1.95
C: 0.5000 0.5000 0.0000  2 Pd 1.95

**Symmetry**: P4/mmm
**Calculated formation energy**: -83 meV per atom
**Mass density**: 5.79 Mg/m³
**DOS(E_F)**: 0.682 states/eV/atom

Entry 9:
A relaxed Tl2Sn3Bi2 crystal. Source: Alexandria, functional GGA-PBE.

Cell: 6.3744 6.3744 8.3500 Å, 92.73 92.73 41.01°
With the nearest neighbours (Å) after each atom.
Atoms (fractional coordinates):
Tl: 0.1085 0.1085 0.2997  5 Bi 3.36-3.59, 5 Sn 3.55-3.68
Tl: 0.8915 0.8915 0.7003  5 Bi 3.36-3.59, 5 Sn 3.55-3.68
Sn: 0.1890 0.1890 0.8845  2 Bi 3.16, 4 Sn 3.25-3.35
Sn: 0.5000 0.5000 0.0000  4 Sn 3.35, 2 Bi 3.38, 4 Tl 3.55
Sn: 0.8110 0.8110 0.1155  2 Bi 3.16, 4 Sn 3.25-3.35
Bi: 0.3886 0.3886 0.3640  3 Sn 3.16-3.38, 3 Tl 3.36-3.51, 1 Bi 3.41
Bi: 0.6114 0.6114 0.6360  3 Sn 3.16-3.38, 3 Tl 3.36-3.51, 1 Bi 3.41

**Symmetry**: C2/m
**Calculated formation energy**: 63 meV per atom
**Mass density**: 8.83 Mg/m³
**DOS(E_F)**: 0.460 states/eV/atom

Entry 10:
A relaxed Ac6Se5Cl crystal. Source: Alexandria, functional GGA-PBE.

Cell: 7.7012 7.7012 7.7201 Å, 99.62 99.62 120.21°
With the nearest neighbours (Å) after each atom.
Atoms (fractional coordinates):
Ac: 0.0781 0.4157 0.7469  5 Se 3.10-3.15, 1 Cl 3.18
Ac: 0.2470 0.2470 0.2532  5 Se 3.11-3.14, 1 Cl 3.18
Ac: 0.4157 0.0781 0.7469  5 Se 3.10-3.15, 1 Cl 3.18
Ac: 0.5843 0.9219 0.2531  5 Se 3.10-3.15, 1 Cl 3.18
Ac: 0.7530 0.7530 0.7468  5 Se 3.11-3.14, 1 Cl 3.18
Ac: 0.9219 0.5843 0.2531  5 Se 3.10-3.15, 1 Cl 3.18
Se: 0.0000 0.0000 0.5000  6 Ac 3.11-3.14
Se: 0.1664 0.8336 0.0000  6 Ac 3.14-3.15
Se: 0.3334 0.6666 0.5000  6 Ac 3.10-3.15
Se: 0.6666 0.3334 0.5000  6 Ac 3.10-3.15
Se: 0.8336 0.1664 0.0000  6 Ac 3.14-3.15
Cl: 0.5000 0.5000 0.0000  6 Ac 3.18

**Symmetry**: C2/m
**Energy relative to the elements, uncorrected**: -1780 meV per atom
**Mass density**: 7.98 Mg/m³
**DOS(E_F)**: 0.561 states/eV/atom

Entry 11:
A relaxed UTi2Zn crystal. Source: Alexandria, functional GGA-PBE.

Cell: 3.3254 3.3254 6.2930 Å, 90.00 90.00 90.00°
With the nearest neighbours (Å) after each atom.
Atoms (fractional coordinates):
U: 0.0000 0.0000 0.0000  8 Ti 2.81, 2 Zn 3.15
Ti: 0.5000 0.5000 0.2444  4 U 2.81, 4 Zn 2.85, 1 Ti 3.08
Ti: 0.5000 0.5000 0.7556  4 U 2.81, 4 Zn 2.85, 1 Ti 3.08
Zn: 0.0000 0.0000 0.5000  8 Ti 2.85, 2 U 3.15

**Symmetry**: P4/mmm
**Calculated formation energy**: 133 meV per atom
**Mass density**: 9.53 Mg/m³
**DOS(E_F)**: 1.978 states/eV/atom

Entry 12:
A relaxed Y2PuMnN4 crystal. Source: Alexandria, functional GGA-PBE.

Cell: 5.9194 5.9194 11.6022 Å, 90.00 90.00 147.10°
With the nearest neighbours (Å) after each atom.
Atoms (fractional coordinates):
Y: 0.1317 0.8683 0.5449  6 N 2.31-2.50
Y: 0.1317 0.8683 0.9551  6 N 2.31-2.50
Y: 0.8683 0.1317 0.0449  6 N 2.31-2.50
Y: 0.8683 0.1317 0.4551  6 N 2.31-2.50
Pu: 0.3935 0.6065 0.7500  6 N 2.58-2.67
Pu: 0.6065 0.3935 0.2500  6 N 2.58-2.67
Mn: 0.3409 0.6591 0.2500  4 N 1.85-1.92
Mn: 0.6591 0.3409 0.7500  4 N 1.85-1.92
N: 0.0769 0.9231 0.7500  2 Mn 1.92
N: 0.2312 0.7688 0.1326  1 Mn 1.85
N: 0.2312 0.7688 0.3674  1 Mn 1.85
N: 0.5000 0.5000 0.0000  4 Y 2.31
N: 0.5000 0.5000 0.5000  4 Y 2.31
N: 0.7688 0.2312 0.6326  1 Mn 1.85
N: 0.7688 0.2312 0.8674  1 Mn 1.85
N: 0.9231 0.0769 0.2500  2 Mn 1.92

**Symmetry**: Cmcm
**Energy relative to the elements, uncorrected**: -1090 meV per atom
**Mass density**: 8.01 Mg/m³
**DOS(E_F)**: 0.884 states/eV/atom

Q: The lowest mass density belongs to which entry?
A: KSnBiCl6

Q: Among the records above, which one has the lowest mass density?
A: KSnBiCl6

Q: Look up the DOS(E_F) of the ninth one.
A: 0.460 states/eV/atom

Q: Which of these has the lowest mass density?
A: KSnBiCl6